## NaLi4Sb5 (PBE)

Data for a relaxed structure of NaLi4Sb5.

abc: 3.2141 3.2141 21.8044
angles: 90.00 90.00 90.00
Space group P4/mmm (No. 123)
Unique sites:
Na1 0.0000 0.0000 0.0000 x1
Li1 0.0000 0.0000 0.2075 x2
Li2 0.0000 0.0000 0.4031 x2
Sb1 0.5000 0.5000 0.1133 x2
Sb2 0.5000 0.5000 0.3054 x2
Sb3 0.5000 0.5000 0.5000 x1


## NaLi2Sb (PBE)

Data for a relaxed structure of NaLi2Sb.

abc: 4.9369 4.9369 18.3326
angles: 90.00 90.00 90.00
Space group I-42d (No. 122)
Unique sites:
Na1 0.0000 0.0000 0.0000 x4
Li1 0.1228 0.2500 0.6250 x8
Sb1 0.0000 0.0000 0.5000 x4


Results for formation energy from raw total energies: -0.39, -0.25 (in eV per atom, following the order of the records).
Results for calculated total energy: -3.350, -2.565 (in eV per atom, following the order of the records).